EuTiP2: optimized geometry, GGA-PBE.

POSCAR file:
```
EuTiP2
1.0
1.882 1.087 6.443
-1.882 1.087 6.443
0.000 -2.174 6.443
Eu Ti P
1 1 2
direct
0.000 0.000 0.000
0.500 0.500 0.500
0.236 0.236 0.236
0.764 0.764 0.764
```

Output
ΔH_f (0 K): -1.136 eV/atom
M_tot: 6.8 μB/cell
Raw total energy: -8.383 eV/atom
Space-group type: R-3m
D(E_F): 1.721 states/eV/atom